## TbZrC2 (GGA-PBE)

Data for crystalline TbZrC2 at its relaxed geometry.

The calculation puts the distance to the lowest polymorph of the same formula at 0 meV per atom. The calculation puts the calculated formation energy at -0.368 eV/atom. The calculation puts the density of states at the Fermi level at 0.58 states/eV/atom.

The space group is R-3m (No. 166, hexagonal axes) and the conventional cell measures 3.4487, 3.4487 and 17.2045 Å, with angles of 90.00, 90.00 and 120.00 degrees. Symmetry generates all atoms from Tb at (0.0000, 0.0000, 0.0000), Zr at (0.0000, 0.0000, 0.5000) and C at (0.0000, 0.0000, 0.2425).

---

## K3Cd3In2 (GGA-PBE)

Data for crystalline K3Cd3In2 at its relaxed geometry.

The calculation puts the calculated formation energy at -0.092 eV/atom. The calculation puts the density of states at the Fermi level at 0.51 states/eV/atom.

The space group is Pnma (No. 62) and the conventional cell measures 9.8803, 16.9193 and 6.9066 Å, with angles of 90.00, 90.00 and 90.00 degrees. Symmetry generates all atoms from K at (0.0474, 0.1105, 0.1111), K at (0.2027, 0.2500, 0.5983), Cd at (0.1462, 0.7500, 0.5758), Cd at (0.1945, 0.0345, 0.6491) and In at (0.0876, 0.5932, 0.3974).

---

## HfBiIr2 (GGA-PBE)

Data for crystalline HfBiIr2 at its relaxed geometry.

The calculation puts the calculated formation energy at 0.316 eV/atom. The calculation puts the density of states at the Fermi level at 0.50 states/eV/atom.

The space group is I-42d (No. 122) and the conventional cell measures 5.9042, 5.9042 and 12.4954 Å, with angles of 90.00, 90.00 and 90.00 degrees. Symmetry generates all atoms from Hf at (0.0000, 0.0000, 0.0000), Bi at (0.0000, 0.0000, 0.5000) and Ir at (0.2380, 0.2500, 0.1250).

---

## ZrIrAu2 (GGA-PBE)

Data for crystalline ZrIrAu2 at its relaxed geometry.

The calculation puts the distance to the lowest polymorph of the same formula at 115 meV per atom. The calculation puts the calculated formation energy at -0.347 eV/atom. The calculation puts the density of states at the Fermi level at 0.61 states/eV/atom.

The space group is P4/mmm (No. 123) and the conventional cell measures 4.0863, 4.0863 and 4.2338 Å, with angles of 90.00, 90.00 and 90.00 degrees. Symmetry generates all atoms from Zr at (0.0000, 0.0000, 0.0000), Ir at (0.5000, 0.5000, 0.0000) and Au at (0.0000, 0.5000, 0.5000).

---

## Cs2RuWI6 (GGA-PBE)

Data for crystalline Cs2RuWI6 at its relaxed geometry.

The calculation puts the density of states at the Fermi level at 0.94 states/eV/atom. As for the formation energy without anion corrections: -0.2792 eV/atom.

The space group is Fm-3m (No. 225) and the conventional cell measures 11.5299, 11.5299 and 11.5299 Å, with angles of 90.00, 90.00 and 90.00 degrees. Symmetry generates all atoms from Cs at (0.2500, 0.2500, 0.2500), Ru at (0.0000, 0.0000, 0.0000), W at (0.0000, 0.0000, 0.5000) and I at (0.0000, 0.0000, 0.2530).

---

## LaErTm2Th (GGA-PBE)

Data for crystalline LaErTm2Th at its relaxed geometry.

The calculation puts the calculated formation energy at 0.299 eV/atom. The calculation puts the density of states at the Fermi level at 1.68 states/eV/atom.

The space group is P2/m (No. 10) and the conventional cell measures 3.5078, 5.6197 and 8.6690 Å, with angles of 90.00, 90.13 and 90.00 degrees. Symmetry generates all atoms from La at (0.0000, 0.0000, 0.0000), Er at (0.5000, 0.0000, 0.5000), Tm at (0.0019, 0.5000, 0.3224) and Th at (0.5000, 0.5000, 0.0000).

---

## Sm6Tl3In2 (GGA-PBE)

Data for crystalline Sm6Tl3In2 at its relaxed geometry.

The calculation puts the calculated formation energy at 0.014 eV/atom. The calculation puts the density of states at the Fermi level at 1.17 states/eV/atom.

The space group is I4/mmm (No. 139) and the conventional cell measures 5.9195, 5.9195 and 21.6642 Å, with angles of 90.00, 90.00 and 90.00 degrees. Symmetry generates all atoms from Sm at (0.0000, 0.0000, 0.2030), Sm at (0.0000, 0.5000, 0.0892), Tl at (0.0000, 0.0000, 0.3448), Tl at (0.0000, 0.0000, 0.5000) and In at (0.0000, 0.0000, 0.0634).

---

## BaHg2Mo (GGA-PBE)

Data for crystalline BaHg2Mo at its relaxed geometry.

The calculation puts the distance to the lowest polymorph of the same formula at 48 meV per atom. The calculation puts the calculated formation energy at 0.413 eV/atom. The calculation puts the density of states at the Fermi level at 0.87 states/eV/atom.

The space group is R3m (No. 160, hexagonal axes) and the conventional cell measures 4.8282, 4.8282 and 18.2797 Å, with angles of 90.00, 90.00 and 120.00 degrees. Symmetry generates all atoms from Ba at (0.0000, 0.0000, 0.0000), Hg at (0.0000, 0.0000, 0.1991), Hg at (0.0000, 0.0000, 0.4567) and Mo at (0.0000, 0.0000, 0.8126).

---

## RbCd2Br (GGA-PBE)

Data for crystalline RbCd2Br at its relaxed geometry.

The calculation puts the distance to the lowest polymorph of the same formula at 103 meV per atom. The calculation puts the density of states at the Fermi level at 0.00 states/eV/atom. As for the formation energy without anion corrections: -0.3546 eV/atom.

The space group is Fm-3m (No. 225) and the conventional cell measures 8.5670, 8.5670 and 8.5670 Å, with angles of 90.00, 90.00 and 90.00 degrees. Symmetry generates all atoms from Rb at (0.0000, 0.0000, 0.0000), Cd at (0.2500, 0.2500, 0.2500) and Br at (0.0000, 0.0000, 0.5000).

---

## CsPHS2 (GGA-PBE)

Data for crystalline CsPHS2 at its relaxed geometry.

Its raw total energy is -3.01 eV/atom. The calculation puts the density of states at the Fermi level at 0.67 states/eV/atom.

The space group is P4/mmm (No. 123) and the conventional cell measures 5.7813, 5.7813 and 3.2165 Å, with angles of 90.00, 90.00 and 90.00 degrees. Symmetry generates all atoms from Cs at (0.0000, 0.0000, 0.0000), P at (0.5000, 0.5000, 0.0000), H at (0.5000, 0.5000, 0.5000) and S at (0.0000, 0.5000, 0.5000).

---

## Mg2ZrFe (GGA-PBE)

Data for crystalline Mg2ZrFe at its relaxed geometry.

The calculation puts the calculated formation energy at 0.442 eV/atom. The calculation puts the density of states at the Fermi level at 2.02 states/eV/atom.

The space group is Fm-3m (No. 225) and the conventional cell measures 6.5602, 6.5602 and 6.5602 Å, with angles of 90.00, 90.00 and 90.00 degrees. Symmetry generates all atoms from Mg at (0.2500, 0.2500, 0.2500), Zr at (0.0000, 0.0000, 0.0000) and Fe at (0.0000, 0.0000, 0.5000).

---

| no. | magnetization (μB per formula unit) |
| --- | --- |
| 1 | 0.000 |
| 2 | 0.000 |
| 3 | 0.000 |
| 4 | 0.000 |
| 5 | 6.000 |
| 6 | 0.000 |
| 7 | 0.000 |
| 8 | 2.410 |
| 9 | 0.000 |
| 10 | 0.000 |
| 11 | 0.000 |